No. 1
Entry from the Alexandria database: crystalline YZrGe2O8 at its relaxed geometry (GGA-PBE).

Output
Total energy: -7.652 eV/atom
Mass density: 4.8 g cm⁻³
Total magnetic moment: 2.0 μB per cell

Lattice parameters (Å, degrees): 6.9717 6.9717 6.4073 90.00 90.00 90.00
With the nearest neighbours (Å) after each atom.
Space group I-4m2 (No. 119)
Symmetry-distinct sites (fractional):
Y  0.0000  0.0000  0.0000  8 O 2.26-2.45
Zr  0.0000  0.5000  0.7500  8 O 2.19-2.33
Ge  0.0000  0.0000  0.5000  4 O 1.77
Ge  0.0000  0.5000  0.2500  4 O 1.76
O  0.0000  0.1929  0.6803  1 Ge 1.77
O  0.0000  0.3206  0.0561  1 Ge 1.76

---

No. 2
Entry from the Alexandria database: crystalline KRb3H6Pd2 at its relaxed geometry (GGA-PBE).

Output
Total energy: -2.921 eV/atom
Mass density: 3.2 g cm⁻³
Total magnetic moment: 2.1 μB per cell

Lattice parameters (Å, degrees): 6.3306 6.3306 7.6613 90.00 90.00 120.00
With the nearest neighbours (Å) after each atom.
Space group P-3m1 (No. 164)
Symmetry-distinct sites (fractional):
K  0.0000  0.0000  0.0000  6 H 2.66
Rb  0.0000  0.0000  0.5000  6 H 2.82
Rb  0.3333  0.6667  0.2217  6 H 3.17
H  0.1784  0.3567  0.7656  1 Pd 1.70
Pd  0.3333  0.6667  0.7567  3 H 1.70

---

No. 3
Entry from the Alexandria database: crystalline Na3Ac3ScSe8 at its relaxed geometry (GGA-PBE).

Output
Total energy: -4.957 eV/atom
Mass density: 5.0 g cm⁻³
Total magnetic moment: 0.0 μB per cell

Lattice parameters (Å, degrees): 8.8801 8.8801 20.6631 90.00 90.00 120.00
With the nearest neighbours (Å) after each atom.
Space group R-3m (No. 166, hexagonal axes)
Symmetry-distinct sites (fractional):
Na  0.0000  0.5000  0.0000  6 Se 3.09
Ac  0.0000  0.5000  0.5000  6 Se 3.09-3.11
Sc  0.0000  0.0000  0.5000  6 Se 2.78
Se  0.0000  0.0000  0.2502  3 Na 3.09, 3 Ac 3.09
Se  0.0333  0.5167  0.2416  1 Sc 2.78, 2 Na 3.09

---

No. 4
Entry from the Alexandria database: crystalline MnZnRh2 at its relaxed geometry (GGA-PBE).

Output
Total energy: -6.382 eV/atom
Mass density: 9.5 g cm⁻³
Formation energy from the elements: -0.095 eV per atom
Total magnetic moment: 4.5 μB per cell

Lattice parameters (Å, degrees): 3.0111 4.1593 4.5635 90.00 90.00 90.00
With the nearest neighbours (Å) after each atom.
Space group Pmmm (No. 47)
Symmetry-distinct sites (fractional):
Mn  0.0000  0.0000  0.0000  4 Rh 2.57, 4 Zn 2.73
Zn  0.5000  0.0000  0.5000  4 Rh 2.57, 4 Mn 2.73
Rh  0.0000  0.5000  0.5000  4 Zn 2.57, 4 Rh 2.73
Rh  0.5000  0.5000  0.0000  4 Mn 2.57, 4 Rh 2.73

---

No. 5
Entry from the Alexandria database: crystalline Al2CoPb at its relaxed geometry (GGA-PBE).

Output
Total energy: -4.439 eV/atom
Mass density: 7.0 g cm⁻³
Formation energy from the elements: 0.136 eV per atom
Total magnetic moment: 0.5 μB per cell

Lattice parameters (Å, degrees): 7.9938 3.2087 6.0127 90.00 102.09 90.00
With the nearest neighbours (Å) after each atom.
Space group C2/m (No. 12)
Symmetry-distinct sites (fractional):
Al  0.2237  0.0000  0.1617  3 Co 2.45-2.59, 2 Al 2.62
Co  0.0000  0.5000  0.0000  6 Al 2.45-2.59
Pb  0.0000  0.0000  0.5000  6 Al 2.98-3.12, 2 Pb 3.21

---

No. 6
Entry from the Alexandria database: crystalline CePmVN3 at its relaxed geometry (GGA-PBE).

Output
Total energy: -8.669 eV/atom
Mass density: 6.5 g cm⁻³
Total magnetic moment: 0.0 μB per cell

Lattice parameters (Å, degrees): 7.3853 3.4885 7.5647 90.00 95.92 90.00
With the nearest neighbours (Å) after each atom.
Space group P2_1/m (No. 11)
Symmetry-distinct sites (fractional):
Ce  0.1300  0.2500  0.1757  3 N 2.29-2.44
Pm  0.3406  0.7500  0.8378  5 N 2.40-2.66
V  0.4089  0.7500  0.4055  4 N 1.87-1.95
N  0.1014  0.2500  0.8710  3 Ce 2.29-2.44, 2 Pm 2.51
N  0.3391  0.2500  0.4890  3 V 1.94-1.95
N  0.3871  0.7500  0.1570  1 V 1.87

---

No. 7
Entry from the Alexandria database: crystalline Ca2HSe at its relaxed geometry (GGA-PBE).

Output
Total energy: -3.456 eV/atom
Mass density: 3.2 g cm⁻³
Excess energy over the best structure of this formula in the dataset: 279 meV per atom
Total magnetic moment: 0.0 μB per cell

Lattice parameters (Å, degrees): 6.9047 6.9047 6.9047 90.00 90.00 90.00
With the nearest neighbours (Å) after each atom.
Space group Fm-3m (No. 225)
Symmetry-distinct sites (fractional):
Ca  0.2500  0.2500  0.2500  4 H 2.99, 4 Se 2.99
H  0.0000  0.0000  0.0000  8 Ca 2.99
Se  0.0000  0.0000  0.5000  8 Ca 2.99

---

No. 8
Entry from the Alexandria database: crystalline LiCuMo2 at its relaxed geometry (GGA-PBE).

Output
Total energy: -6.595 eV/atom
Mass density: 7.6 g cm⁻³
Formation energy from the elements: 0.323 eV per atom
Excess energy over the best structure of this formula in the dataset: 148 meV per atom
Total magnetic moment: 0.0 μB per cell

Lattice parameters (Å, degrees): 8.9343 2.5575 5.0584 90.00 93.96 90.00
With the nearest neighbours (Å) after each atom.
Space group Cm (No. 8)
Symmetry-distinct sites (fractional):
Li  0.0000  0.0000  0.0000  2 Li 2.56, 3 Cu 2.60-2.72, 7 Mo 2.64-2.86
Cu  0.2539  0.0000  0.7787  2 Cu 2.56, 3 Li 2.60-2.72, 5 Mo 2.76-2.81
Mo  0.0174  0.5000  0.5055  3 Mo 2.52-2.56, 3 Cu 2.76-2.81
Mo  0.2544  0.5000  0.2632  3 Mo 2.52-2.56, 1 Li 2.64, 2 Cu 2.76

---

> Which of these has the highest total energy?

KRb3H6Pd2

---

> What is the total magnetic moment in the fourth record?

4.5 μB per cell